Pu3ThRu2 (PBE, relaxed); calculated formation energy = -0.1211 eV/atom; crystal system = orthorhombic; DOS at the Fermi energy = 3.3904 states/eV/atom; calculated total energy = -139.39 eV for the cell shown
1.0
3.8819 0.0000 0.0000
0.0000 8.1346 0.0000
0.0000 0.0000 8.7061
Pu Ru Th
6 4 2
direct
0.0000 0.4725 0.9263
0.5000 0.1447 0.7999
0.5000 0.6447 0.2001
0.0000 0.8620 0.7049
0.0000 0.3620 0.2951
0.0000 0.9725 0.0737
0.5000 0.7413 0.9065
0.0000 0.2499 0.5936
0.0000 0.7499 0.4064
0.5000 0.2413 0.0935
0.5000 0.0296 0.4094
0.5000 0.5296 0.5906